1.
## YFeI (GGA-PBE)

Data for a relaxed YFeI crystal.

abc: 3.969 3.969 12.616
angles: 90.15 98.90 120.00
Fractional positions:
Y1 0.103 0.553 0.656
Y2 0.897 0.447 0.344
Fe1 0.669 0.834 0.503
Fe2 0.331 0.166 0.497
I1 0.552 0.279 0.830
I2 0.448 0.721 0.170

Values from the calculation:
- Raw formation energy: -0.706 eV/atom
- V: 84.65 Å³/f.u.
- Total energy: -6.20 eV per atom
- Space-group type: No. 12
- D(E_F): 0.56 states/eV/atom

2.
## LaTbNd3Er (GGA-PBE)

Data for a relaxed LaTbNd3Er crystal.

abc: 5.844 10.744 6.866
angles: 91.42 90.00 105.78
Fractional positions:
Nd1 0.841 0.681 0.253
Nd2 0.780 0.561 0.730
Nd3 0.220 0.439 0.270
Nd4 0.518 0.036 0.748
Nd5 0.482 0.964 0.252
Nd6 0.159 0.319 0.747
Er1 0.642 0.284 0.477
Er2 0.358 0.716 0.523
Tb1 0.057 0.115 0.270
Tb2 0.943 0.885 0.730
La1 0.647 0.294 0.025
La2 0.353 0.706 0.975

Values from the calculation:
- V: 207.35 Å³/f.u.
- Total energy: -4.56 eV per atom
- Space-group type: No. 12
- D(E_F): 1.46 states/eV/atom

3.
## KGe3Sb (GGA-PBE)

Data for a relaxed KGe3Sb crystal.

abc: 5.506 5.506 5.506
angles: 90.00 90.00 90.00
Fractional positions:
Sb1 0.000 0.000 0.000
Ge1 0.000 0.000 0.500
Ge2 0.000 0.500 0.000
Ge3 0.500 0.000 0.000
K1 0.500 0.500 0.500

Values from the calculation:
- Raw formation energy: 0.572 eV/atom
- V: 166.88 Å³/f.u.
- Total energy: -3.24 eV per atom
- Space-group type: No. 221
- D(E_F): 0.76 states/eV/atom
- Excess energy over the best structure of this formula in the dataset: 0 meV/atom

4.
## NbCdSn2Mo (GGA-PBE)

Data for a relaxed NbCdSn2Mo crystal.

abc: 5.151 5.260 5.151
angles: 90.00 90.00 90.00
Fractional positions:
Sn1 0.000 0.000 0.500
Sn2 0.500 0.000 0.000
Nb1 0.500 0.500 0.500
Cd1 0.000 0.500 0.000
Mo1 0.000 0.000 0.000

Values from the calculation:
- V: 139.56 Å³/f.u.
- Total energy: -4.82 eV per atom
- Space-group type: No. 123
- D(E_F): 1.16 states/eV/atom

5.
## Mg2Np2Al15 (GGA-PBE)

Data for a relaxed Mg2Np2Al15 crystal.

abc: 7.089 7.089 7.089
angles: 82.46 82.46 82.46
Fractional positions:
Al1 0.354 0.354 0.841
Al2 0.646 0.159 0.646
Al3 0.159 0.646 0.646
Al4 0.500 0.000 0.000
Al5 0.000 0.301 0.699
Al6 0.841 0.354 0.354
Al7 0.301 0.000 0.699
Al8 0.000 0.699 0.301
Al9 0.301 0.699 0.000
Al10 0.646 0.646 0.159
Al11 0.699 0.000 0.301
Al12 0.354 0.841 0.354
Al13 0.000 0.500 0.000
Al14 0.000 0.000 0.500
Al15 0.699 0.301 0.000
Np1 0.653 0.653 0.653
Np2 0.347 0.347 0.347
Mg1 0.103 0.103 0.103
Mg2 0.897 0.897 0.897

Values from the calculation:
- V: 347.68 Å³/f.u.
- Total energy: -4.49 eV per atom
- Space-group type: No. 166
- D(E_F): 1.30 states/eV/atom

6.
## Sm2O (GGA-PBE)

Data for a relaxed Sm2O crystal.

abc: 3.583 3.583 6.561
angles: 97.48 97.48 121.38
Fractional positions:
Sm1 0.133 0.133 0.264
Sm2 0.867 0.867 0.736
O1 0.500 0.500 0.000

Values from the calculation:
- Raw formation energy: -1.477 eV/atom
- V: 69.33 Å³/f.u.
- Total energy: -6.28 eV per atom
- Space-group type: No. 12
- D(E_F): 0.33 states/eV/atom
- Excess energy over the best structure of this formula in the dataset: 366 meV/atom

7.
## Sc3Cu2Ni (GGA-PBE)

Data for a relaxed Sc3Cu2Ni crystal.

abc: 3.247 4.554 7.194
angles: 108.45 90.00 90.00
Fractional positions:
Sc1 0.500 0.500 0.000
Sc2 0.500 0.838 0.676
Sc3 0.500 0.162 0.324
Ni1 0.000 0.000 0.000
Cu1 0.000 0.667 0.335
Cu2 0.000 0.333 0.665

Values from the calculation:
- V: 100.92 Å³/f.u.
- Total energy: -5.85 eV per atom
- Space-group type: No. 65
- D(E_F): 0.76 states/eV/atom

8.
## Li2PmSn (GGA-PBE)

Data for a relaxed Li2PmSn crystal.

abc: 4.866 4.866 4.866
angles: 60.00 60.00 60.00
Fractional positions:
Li1 0.500 0.500 0.500
Li2 0.000 0.000 0.000
Sn1 0.750 0.750 0.750
Pm1 0.250 0.250 0.250

Values from the calculation:
- V: 81.48 Å³/f.u.
- Total energy: -3.60 eV per atom
- Space-group type: No. 225
- D(E_F): 0.40 states/eV/atom

Which of these has the lowest V? Sm2O

V of number 1 (YFeI)? 84.65 Å³/f.u.